No. 1
Density functional theory data (PBE) for an optimized crystal structure of Pu2NpTc.

Summary:
Energy above the most stable polymorph in this dataset   47.2 meV/atom
DFT total energy   -0.9377 Ry per atom
DOS(E_F)   4.62 states/eV/atom
Calculated volume   18.71 A^3/atom
Calculated formation energy   234 meV/atom

Lattice parameters (Å, degrees): 4.7303 4.7303 4.7303 60.00 60.00 60.00
Last column: nearest neighbours and their distance in Å.
Atoms (fractional coordinates):
Pu 0.2500 0.2500 0.2500  4 Tc 2.90, 4 Np 2.90
Pu 0.7500 0.7500 0.7500  4 Tc 2.90, 4 Np 2.90
Np 0.0000 0.0000 0.0000  8 Pu 2.90
Tc 0.5000 0.5000 0.5000  8 Pu 2.90

No. 2
Density functional theory data (PBE) for an optimized crystal structure of Sr2PuBiO6.

Summary:
DFT total energy   -0.5509 Ry per atom
Uncorrected formation energy   -2363 meV/atom
DOS(E_F)   0.73 states/eV/atom
Calculated volume   17.26 A^3/atom

Lattice parameters (Å, degrees): 6.1986 6.1986 4.4930 90.00 90.00 90.00
Last column: nearest neighbours and their distance in Å.
Atoms (fractional coordinates):
Sr 0.0000 0.5000 0.0000  4 O 2.67
Sr 0.5000 0.0000 0.0000  4 O 2.67
Pu 0.0000 0.0000 0.6144  6 O 2.11-2.28
Bi 0.5000 0.5000 0.5874  6 O 2.23-2.31
O 0.0000 0.0000 0.1208  2 Pu 2.22-2.28
O 0.2396 0.2396 0.6630  1 Pu 2.11, 1 Bi 2.31
O 0.2396 0.7604 0.6630  1 Pu 2.11, 1 Bi 2.31
O 0.5000 0.5000 0.0917  2 Bi 2.23-2.27
O 0.7604 0.2396 0.6630  1 Pu 2.11, 1 Bi 2.31
O 0.7604 0.7604 0.6630  1 Pu 2.11, 1 Bi 2.31

No. 3
Density functional theory data (PBE) for an optimized crystal structure of CaZrF2.

Summary:
Energy above the most stable polymorph in this dataset   0.0 meV/atom
DFT total energy   -0.4391 Ry per atom
Uncorrected formation energy   -2401 meV/atom
DOS(E_F)   0.65 states/eV/atom
Calculated volume   18.19 A^3/atom

Lattice parameters (Å, degrees): 6.6563 6.6563 6.6563 31.81 31.81 31.81
Last column: nearest neighbours and their distance in Å.
Atoms (fractional coordinates):
Ca 0.0000 0.0000 0.0000  6 F 2.29
Zr 0.5000 0.5000 0.5000  2 F 2.27
F 0.3803 0.3803 0.3803  1 Zr 2.27, 3 Ca 2.29
F 0.6197 0.6197 0.6197  1 Zr 2.27, 3 Ca 2.29

No. 4
Density functional theory data (PBE) for an optimized crystal structure of InAsP2O.

Summary:
Energy above the most stable polymorph in this dataset   0.0 meV/atom
DFT total energy   -0.3243 Ry per atom
Uncorrected formation energy   221 meV/atom
DOS(E_F)   0.44 states/eV/atom
Calculated volume   17.77 A^3/atom

Lattice parameters (Å, degrees): 4.8822 4.8822 3.7268 90.00 90.00 90.00
Last column: nearest neighbours and their distance in Å.
Atoms (fractional coordinates):
In 0.0000 0.0000 0.0000  8 P 3.07
As 0.5000 0.5000 0.5000  2 O 1.86
P 0.0000 0.5000 0.5000  2 As 2.44
P 0.5000 0.0000 0.5000  2 As 2.44
O 0.5000 0.5000 0.0000  2 As 1.86

No. 5
Density functional theory data (PBE) for an optimized crystal structure of Na2LiEr.

Summary:
DFT total energy   -0.1503 Ry per atom
DOS(E_F)   0.84 states/eV/atom
Calculated volume   30.44 A^3/atom
Calculated formation energy   234 meV/atom

Lattice parameters (Å, degrees): 12.5629 12.5629 12.5629 15.40 15.40 15.40
Last column: nearest neighbours and their distance in Å.
Atoms (fractional coordinates):
Na 0.0906 0.0906 0.0906  6 Na 3.37, 1 Er 3.37, 3 Li 3.44
Na 0.9094 0.9094 0.9094  6 Na 3.37, 1 Er 3.37, 3 Li 3.44
Li 0.5000 0.5000 0.5000  6 Li 3.37, 6 Na 3.44
Er 0.0000 0.0000 0.0000  6 Er 3.37, 2 Na 3.37

No. 6
Density functional theory data (PBE) for an optimized crystal structure of TmAsPd.

Summary:
DFT total energy   -0.4375 Ry per atom
DOS(E_F)   0.02 states/eV/atom
Calculated volume   18.91 A^3/atom
Calculated formation energy   -1181 meV/atom

Lattice parameters (Å, degrees): 6.9870 4.0973 7.9273 90.00 90.00 90.00
Last column: nearest neighbours and their distance in Å.
Atoms (fractional coordinates):
Tm 0.0332 0.2500 0.1906  5 As 2.88-2.97, 5 Pd 3.04-3.22
Tm 0.4668 0.7500 0.6906  5 As 2.88-2.97, 5 Pd 3.04-3.22
Tm 0.5332 0.2500 0.3094  5 As 2.88-2.97, 5 Pd 3.04-3.22
Tm 0.9668 0.7500 0.8094  5 As 2.88-2.97, 5 Pd 3.04-3.22
As 0.2458 0.2500 0.8782  4 Pd 2.61-2.81, 3 Tm 2.88-2.89
As 0.2542 0.7500 0.3782  4 Pd 2.61-2.81, 3 Tm 2.88-2.89
As 0.7458 0.2500 0.6218  4 Pd 2.61-2.81, 3 Tm 2.88-2.89
As 0.7542 0.7500 0.1218  4 Pd 2.61-2.81, 3 Tm 2.88-2.89
Pd 0.1422 0.2500 0.5623  4 As 2.61-2.81
Pd 0.3578 0.7500 0.0623  4 As 2.61-2.81
Pd 0.6422 0.2500 0.9377  4 As 2.61-2.81
Pd 0.8578 0.7500 0.4377  4 As 2.61-2.81

No. 7
Density functional theory data (PBE) for an optimized crystal structure of Cd2Sn2Ir.

Summary:
DFT total energy   -0.2611 Ry per atom
DOS(E_F)   0.58 states/eV/atom
Calculated volume   23.25 A^3/atom
Calculated formation energy   186 meV/atom

Lattice parameters (Å, degrees): 6.9668 6.9668 4.7911 90.00 90.00 90.00
Last column: nearest neighbours and their distance in Å.
Atoms (fractional coordinates):
Cd 0.1654 0.3346 0.0000  6 Sn 3.00-3.25, 1 Cd 3.26
Cd 0.3346 0.8346 0.0000  6 Sn 3.00-3.25, 1 Cd 3.26
Cd 0.6654 0.1654 0.0000  6 Sn 3.00-3.25, 1 Cd 3.26
Cd 0.8346 0.6654 0.0000  6 Sn 3.00-3.25, 1 Cd 3.26
Sn 0.1505 0.6505 0.5000  2 Ir 2.65, 1 Sn 2.96
Sn 0.3495 0.1505 0.5000  2 Ir 2.65, 1 Sn 2.96
Sn 0.6505 0.8495 0.5000  2 Ir 2.65, 1 Sn 2.96
Sn 0.8495 0.3495 0.5000  2 Ir 2.65, 1 Sn 2.96
Ir 0.0000 0.0000 0.5000  4 Sn 2.65
Ir 0.5000 0.5000 0.5000  4 Sn 2.65

No. 8
Density functional theory data (PBE) for an optimized crystal structure of CsRb2TcCl6.

Summary:
Energy above the most stable polymorph in this dataset   45.9 meV/atom
DFT total energy   -0.2792 Ry per atom
Uncorrected formation energy   -1375 meV/atom
DOS(E_F)   1.35 states/eV/atom
Calculated volume   35.65 A^3/atom

Lattice parameters (Å, degrees): 7.9587 7.9587 7.9587 60.00 60.00 60.00
Last column: nearest neighbours and their distance in Å.
Atoms (fractional coordinates):
Cs 0.0000 0.0000 0.0000  6 Cl 3.22
Rb 0.2500 0.2500 0.2500  12 Cl 4.00
Rb 0.7500 0.7500 0.7500  12 Cl 4.00
Tc 0.5000 0.5000 0.5000  6 Cl 2.41
Cl 0.2861 0.2861 0.7139  1 Tc 2.41
Cl 0.2861 0.7139 0.2861  1 Tc 2.41
Cl 0.2861 0.7139 0.7139  1 Tc 2.41
Cl 0.7139 0.2861 0.2861  1 Tc 2.41
Cl 0.7139 0.2861 0.7139  1 Tc 2.41
Cl 0.7139 0.7139 0.2861  1 Tc 2.41

No. 9
Density functional theory data (PBE) for an optimized crystal structure of CeCoTc.

Summary:
Energy above the most stable polymorph in this dataset   0.0 meV/atom
DFT total energy   -0.5851 Ry per atom
DOS(E_F)   1.37 states/eV/atom
Calculated volume   16.92 A^3/atom
Calculated formation energy   -158 meV/atom

Lattice parameters (Å, degrees): 5.3202 5.3202 5.3202 125.07 120.34 85.43
Last column: nearest neighbours and their distance in Å.
Atoms (fractional coordinates):
Ce 0.3778 0.1278 0.2500  6 Co 2.96-3.20, 6 Tc 3.07-3.20, 4 Ce 3.11-3.32
Ce 0.6222 0.8722 0.7500  6 Co 2.96-3.20, 6 Tc 3.07-3.20, 4 Ce 3.11-3.32
Co 0.0000 0.5000 0.5000  2 Co 2.65, 4 Tc 2.66, 4 Ce 2.96
Co 0.5000 0.5000 0.0000  2 Co 2.65, 4 Tc 2.66, 4 Ce 2.96
Tc 0.0000 0.0000 0.5000  2 Tc 2.45, 4 Co 2.66
Tc 0.0000 0.5000 0.0000  2 Tc 2.45, 4 Co 2.66

No. 10
Density functional theory data (PBE) for an optimized crystal structure of Sm2TlS4.

Summary:
DFT total energy   -0.3928 Ry per atom
Uncorrected formation energy   -1300 meV/atom
DOS(E_F)   0.46 states/eV/atom
Calculated volume   30.13 A^3/atom

Lattice parameters (Å, degrees): 7.5402 7.2788 7.8775 90.00 102.65 90.00
Last column: nearest neighbours and their distance in Å.
Atoms (fractional coordinates):
Sm 0.0329 0.2500 0.1427  6 S 2.71-2.88
Sm 0.4667 0.7500 0.8437  6 S 2.67-2.87
Sm 0.5333 0.2500 0.1563  6 S 2.67-2.87
Sm 0.9671 0.7500 0.8573  6 S 2.71-2.88
Tl 0.1555 0.2500 0.6537  2 S 2.66-2.68
Tl 0.8445 0.7500 0.3463  2 S 2.66-2.68
S 0.1508 0.7500 0.5953  1 Tl 2.68, 2 Sm 2.73
S 0.2504 0.0076 0.9821  4 Sm 2.85-2.88, 1 Tl 3.08
S 0.2504 0.4924 0.9821  4 Sm 2.85-2.88, 1 Tl 3.08
S 0.3371 0.2500 0.3996  1 Tl 2.66, 2 Sm 2.67-2.71
S 0.6629 0.7500 0.6004  1 Tl 2.66, 2 Sm 2.67-2.71
S 0.7496 0.5076 0.0179  4 Sm 2.85-2.88, 1 Tl 3.08
S 0.7496 0.9924 0.0179  4 Sm 2.85-2.88, 1 Tl 3.08
S 0.8492 0.2500 0.4047  1 Tl 2.68, 2 Sm 2.73

No. 11
Density functional theory data (PBE) for an optimized crystal structure of Pr5AgHg6.

Summary:
DFT total energy   -0.2043 Ry per atom
DOS(E_F)   1.03 states/eV/atom
Calculated volume   27.56 A^3/atom
Calculated formation energy   -400 meV/atom

Lattice parameters (Å, degrees): 9.4017 9.4017 9.4017 147.05 132.45 59.06
Last column: nearest neighbours and their distance in Å.
Atoms (fractional coordinates):
Pr 0.0000 0.0000 0.0000  8 Hg 3.26-3.27
Pr 0.1727 0.6727 0.5000  8 Hg 3.30-3.40
Pr 0.3436 0.3436 0.0000  8 Hg 3.19-3.56
Pr 0.6564 0.6564 0.0000  8 Hg 3.19-3.56
Pr 0.8273 0.3273 0.5000  8 Hg 3.30-3.40
Ag 0.5000 0.0000 0.5000  8 Hg 3.22-3.27
Hg 0.0943 0.8394 0.2549  1 Ag 3.22, 7 Pr 3.25-3.56
Hg 0.2494 0.5000 0.7494  6 Pr 3.19-3.40, 2 Ag 3.27
Hg 0.4155 0.1606 0.2549  1 Ag 3.22, 7 Pr 3.25-3.56
Hg 0.5845 0.8394 0.7451  1 Ag 3.22, 7 Pr 3.25-3.56
Hg 0.7506 0.5000 0.2506  6 Pr 3.19-3.40, 2 Ag 3.27
Hg 0.9057 0.1606 0.7451  1 Ag 3.22, 7 Pr 3.25-3.56

No. 12
Density functional theory data (PBE) for an optimized crystal structure of KNa2Ca.

Summary:
Energy above the most stable polymorph in this dataset   143.1 meV/atom
DFT total energy   -0.0899 Ry per atom
DOS(E_F)   0.90 states/eV/atom
Calculated volume   47.20 A^3/atom
Calculated formation energy   212 meV/atom

Lattice parameters (Å, degrees): 7.9756 7.9756 7.9756 103.86 103.86 121.40
Last column: nearest neighbours and their distance in Å.
Atoms (fractional coordinates):
K 0.0000 0.0000 0.0000  4 Na 3.62, 2 Ca 3.90
K 0.7500 0.2500 0.5000  4 Na 3.62, 2 Ca 3.90
Na 0.1256 0.1250 0.5006  2 Ca 3.61, 2 K 3.62, 2 Na 3.90
Na 0.3750 0.8744 0.9994  2 Ca 3.61, 2 K 3.62, 2 Na 3.90
Na 0.6244 0.6250 0.4994  2 Ca 3.61, 2 K 3.62, 2 Na 3.90
Na 0.8750 0.3756 0.0006  2 Ca 3.61, 2 K 3.62, 2 Na 3.90
Ca 0.2500 0.7500 0.5000  4 Na 3.61, 2 K 3.90
Ca 0.5000 0.5000 0.0000  4 Na 3.61, 2 K 3.90